# Pr3Mg3Ag2Pt, optimized geometry, DFT PBE
# Volume in Å³/atom: 24.8
# Electronic total energy in eV/atom: -3.864
# Magnetic moment in μB per atom: 0.008
data_Pr3Mg3Ag2Pt
_chemical_formula_sum 'Pr3 Mg3 Ag2 Pt1'
_cell_length_a 7.7265
_cell_length_b 7.7265
_cell_length_c 4.3178
_cell_angle_alpha 90.00
_cell_angle_beta 90.00
_cell_angle_gamma 120.00
_symmetry_space_group_name_H-M 'P -6 2 m'
_symmetry_Int_Tables_number 189
_symmetry_space_group_name_Hall 'P -6 -2'
loop_
_atom_site_label
_atom_site_type_symbol
_atom_site_fract_x
_atom_site_fract_y
_atom_site_fract_z
Pr1 Pr 0.0000 0.4032 0.0000
Mg1 Mg 0.0000 0.7680 0.5000
Ag1 Ag 0.3333 0.6667 0.5000
Pt1 Pt 0.0000 0.0000 0.0000

=====

# PrMgAgS3, optimized geometry, DFT PBE
# Volume in Å³/atom: 22.1
# Electronic total energy in eV/atom: -4.730
# Magnetic moment in μB per atom: 0.000
data_PrMgAgS3
_chemical_formula_sum 'Pr4 Mg4 Ag4 S12'
_cell_length_a 3.8562
_cell_length_b 12.6230
_cell_length_c 10.9001
_cell_angle_alpha 90.00
_cell_angle_beta 90.00
_cell_angle_gamma 90.00
_symmetry_space_group_name_H-M 'C m c m'
_symmetry_Int_Tables_number 63
_symmetry_space_group_name_Hall '-C 2c 2'
loop_
_atom_site_label
_atom_site_type_symbol
_atom_site_fract_x
_atom_site_fract_y
_atom_site_fract_z
Pr1 Pr 0.0000 0.0000 0.0000
Mg1 Mg 0.0000 0.2353 0.2500
Ag1 Ag 0.0000 0.4848 0.7500
S1 S 0.0000 0.1182 0.7500
S2 S 0.0000 0.3501 0.5827

=====

# PrMgAgSe2S, optimized geometry, DFT PBE
# Volume in Å³/atom: 23.7
# Electronic total energy in eV/atom: -4.462
# Magnetic moment in μB per atom: 0.000
data_PrMgAgSe2S
_chemical_formula_sum 'Pr4 Mg4 Ag4 Se8 S4'
_cell_length_a 3.9704
_cell_length_b 13.0285
_cell_length_c 10.9757
_cell_angle_alpha 90.00
_cell_angle_beta 90.00
_cell_angle_gamma 90.00
_symmetry_space_group_name_H-M 'C m c m'
_symmetry_Int_Tables_number 63
_symmetry_space_group_name_Hall '-C 2c 2'
loop_
_atom_site_label
_atom_site_type_symbol
_atom_site_fract_x
_atom_site_fract_y
_atom_site_fract_z
Pr1 Pr 0.0000 0.0000 0.0000
Mg1 Mg 0.0000 0.2466 0.2500
Ag1 Ag 0.0000 0.4850 0.7500
Se1 Se 0.0000 0.3445 0.5798
S1 S 0.0000 0.1119 0.7500

=====

# PrMgAgTe2S, optimized geometry, DFT PBE
# Volume in Å³/atom: 26.7
# Electronic total energy in eV/atom: -4.125
# Magnetic moment in μB per atom: 0.000
data_PrMgAgTe2S
_chemical_formula_sum 'Pr4 Mg4 Ag4 Te8 S4'
_cell_length_a 4.1597
_cell_length_b 13.9279
_cell_length_c 11.0441
_cell_angle_alpha 90.00
_cell_angle_beta 90.00
_cell_angle_gamma 90.00
_symmetry_space_group_name_H-M 'C m c m'
_symmetry_Int_Tables_number 63
_symmetry_space_group_name_Hall '-C 2c 2'
loop_
_atom_site_label
_atom_site_type_symbol
_atom_site_fract_x
_atom_site_fract_y
_atom_site_fract_z
Pr1 Pr 0.0000 0.0000 0.0000
Mg1 Mg 0.0000 0.2723 0.2500
Ag1 Ag 0.0000 0.4859 0.7500
Te1 Te 0.0000 0.3402 0.5773
S1 S 0.0000 0.1019 0.7500

=====

# PrMgAgSe3, optimized geometry, DFT PBE
# Volume in Å³/atom: 24.5
# Electronic total energy in eV/atom: -4.345
# Magnetic moment in μB per atom: 0.000
data_PrMgAgSe3
_chemical_formula_sum 'Pr4 Mg4 Ag4 Se12'
_cell_length_a 3.9841
_cell_length_b 13.3088
_cell_length_c 11.0854
_cell_angle_alpha 90.00
_cell_angle_beta 90.00
_cell_angle_gamma 90.00
_symmetry_space_group_name_H-M 'C m c m'
_symmetry_Int_Tables_number 63
_symmetry_space_group_name_Hall '-C 2c 2'
loop_
_atom_site_label
_atom_site_type_symbol
_atom_site_fract_x
_atom_site_fract_y
_atom_site_fract_z
Pr1 Pr 0.0000 0.0000 0.0000
Mg1 Mg 0.0000 0.2301 0.2500
Ag1 Ag 0.0000 0.4824 0.7500
Se1 Se 0.0000 0.1170 0.7500
Se2 Se 0.0000 0.3470 0.5787

=====

# Pr3Mg3Tl2Ag, optimized geometry, DFT PBE
# Volume in Å³/atom: 27.2
# Electronic total energy in eV/atom: -3.292
# Magnetic moment in μB per atom: 0.000
data_Pr3Mg3Tl2Ag
_chemical_formula_sum 'Pr3 Mg3 Tl2 Ag1'
_cell_length_a 7.7964
_cell_length_b 7.7964
_cell_length_c 4.6503
_cell_angle_alpha 90.00
_cell_angle_beta 90.00
_cell_angle_gamma 120.00
_symmetry_space_group_name_H-M 'P -6 2 m'
_symmetry_Int_Tables_number 189
_symmetry_space_group_name_Hall 'P -6 -2'
loop_
_atom_site_label
_atom_site_type_symbol
_atom_site_fract_x
_atom_site_fract_y
_atom_site_fract_z
Pr1 Pr 0.0000 0.4120 0.0000
Mg1 Mg 0.0000 0.7648 0.5000
Tl1 Tl 0.3333 0.6667 0.5000
Ag1 Ag 0.0000 0.0000 0.0000

=====

Copy entry 2 word for word.
# PrMgAgS3, optimized geometry, DFT PBE
# Volume in Å³/atom: 22.1
# Electronic total energy in eV/atom: -4.730
# Magnetic moment in μB per atom: 0.000
data_PrMgAgS3
_chemical_formula_sum 'Pr4 Mg4 Ag4 S12'
_cell_length_a 3.8562
_cell_length_b 12.6230
_cell_length_c 10.9001
_cell_angle_alpha 90.00
_cell_angle_beta 90.00
_cell_angle_gamma 90.00
_symmetry_space_group_name_H-M 'C m c m'
_symmetry_Int_Tables_number 63
_symmetry_space_group_name_Hall '-C 2c 2'
loop_
_atom_site_label
_atom_site_type_symbol
_atom_site_fract_x
_atom_site_fract_y
_atom_site_fract_z
Pr1 Pr 0.0000 0.0000 0.0000
Mg1 Mg 0.0000 0.2353 0.2500
Ag1 Ag 0.0000 0.4848 0.7500
S1 S 0.0000 0.1182 0.7500
S2 S 0.0000 0.3501 0.5827